A PBEsol-optimized structure of Mn2AlSi, computed with meta-GGA SCAN.

Its theoretical density is 5.944 g/cm³. Its uncorrected formation energy is -0.36 eV per atom.

The space group is P4/mmm (No. 123) and the conventional cell measures 2.870, 2.870 and 5.595 Å, with angles of 90.00, 90.00 and 90.00 degrees. The distinct sites, in fractional coordinates, are Mn at (0.000, 0.000, 0.228), Al at (0.500, 0.500, 0.500) and Si at (0.500, 0.500, 0.000).

---

A PBEsol-optimized structure of SrMn2Al, computed with meta-GGA SCAN.

Its theoretical density is 4.892 g/cm³. The final energy is -66.17 eV/cell.

The space group is P4/mmm (No. 123) and the conventional cell measures 3.160, 3.160 and 7.631 Å, with angles of 90.00, 90.00 and 90.00 degrees. The distinct sites, in fractional coordinates, are Sr at (0.000, 0.000, 0.000), Mn at (0.500, 0.500, 0.320) and Al at (0.000, 0.000, 0.500).

---

A PBEsol-optimized structure of SrMnAl4, computed with meta-GGA SCAN.

Its theoretical density is 3.563 g/cm³. The final energy is -286.98 eV/cell.

The space group is F-43m (No. 216) and the conventional cell measures 7.758, 7.758 and 7.758 Å, with angles of 90.00, 90.00 and 90.00 degrees. The distinct sites, in fractional coordinates, are Sr at (0.000, 0.000, 0.000), Mn at (0.250, 0.250, 0.750) and Al at (0.125, 0.125, 0.375).

---

A PBEsol-optimized structure of SrMn2Al, computed with meta-GGA SCAN.

Its theoretical density is 4.637 g/cm³. The final energy is -131.90 eV/cell.

The space group is C2/m (No. 12) and the conventional cell measures 8.532, 2.977 and 6.379 Å, with angles of 90.00, 97.04 and 90.00 degrees. The distinct sites, in fractional coordinates, are Sr at (0.000, 0.000, 0.000), Mn at (0.235, 0.000, 0.659) and Al at (0.000, 0.500, 0.500).

---

A PBEsol-optimized structure of Sr3MnAl, computed with meta-GGA SCAN.

Its theoretical density is 3.110 g/cm³. The final energy is -90.14 eV/cell.

The space group is Pm-3m (No. 221) and the conventional cell measures 5.689, 5.689 and 5.689 Å, with angles of 90.00, 90.00 and 90.00 degrees. The distinct sites, in fractional coordinates, are Sr at (0.000, 0.000, 0.500), Mn at (0.000, 0.000, 0.000) and Al at (0.500, 0.500, 0.500).

---

A PBEsol-optimized structure of Sr2MnAl, computed with meta-GGA SCAN.

Its theoretical density is 4.132 g/cm³. The final energy is -139.80 eV/cell.

The space group is I-4m2 (No. 119) and the conventional cell measures 5.271, 5.271 and 7.440 Å, with angles of 90.00, 90.00 and 90.00 degrees. The distinct sites, in fractional coordinates, are Sr at (0.000, 0.000, 0.000), Sr at (0.000, 0.500, 0.250), Mn at (0.000, 0.500, 0.750) and Al at (0.000, 0.000, 0.500).

---

A PBEsol-optimized structure of SrMn2Al, computed with meta-GGA SCAN.

Its theoretical density is 4.585 g/cm³. The final energy is -262.96 eV/cell.

The space group is F-43m (No. 216) and the conventional cell measures 6.877, 6.877 and 6.877 Å, with angles of 90.00, 90.00 and 90.00 degrees. The distinct sites, in fractional coordinates, are Sr at (0.000, 0.000, 0.000), Mn at (0.000, 0.000, 0.500), Mn at (0.250, 0.250, 0.750) and Al at (0.250, 0.250, 0.250).

---

A PBEsol-optimized structure of SrMn2Al, computed with meta-GGA SCAN.

Its theoretical density is 5.051 g/cm³. The final energy is -130.01 eV/cell.

The space group is Cmmm (No. 65) and the conventional cell measures 6.770, 6.790 and 3.211 Å, with angles of 90.00, 90.00 and 90.00 degrees. The distinct sites, in fractional coordinates, are Sr at (0.000, 0.000, 0.000), Mn at (0.250, 0.250, 0.500) and Al at (0.000, 0.500, 0.000).